Material: MgGeAu3
Method: DFT, GGA-PBE
State: optimized geometry

Results
- crystal system = cubic
- energy relative to the elements (meV/atom) = 505
- uncorrected energy (eV for the cell shown) = -13.52

abc: 4.911 4.911 4.911
angles: 90.00 90.00 90.00
Space group Pm-3m (No. 221)
Unique sites:
Mg 0.000 0.000 0.000 x1
Ge 0.500 0.500 0.500 x1
Au 0.000 0.000 0.500 x3

Material: Mg2GeAu8
Method: DFT, GGA-PBE
State: optimized geometry

Results
- crystal system = orthorhombic
- energy relative to the elements (meV/atom) = -258
- uncorrected energy (eV for the cell shown) = -73.72

abc: 4.661 6.238 13.973
angles: 90.00 90.00 90.00
Space group Immm (No. 71)
Unique sites:
Mg 0.000 0.000 0.188 x4
Ge 0.000 0.000 0.500 x2
Au 0.000 0.234 0.000 x4
Au 0.000 0.270 0.361 x8
Au 0.000 0.500 0.184 x4

Which value of energy relative to the elements does entry 2 give? -258 meV/atom